# 1
# Cu2TcNi2 PBE-GGA relaxed
data_Cu2TcNi2
_symmetry_space_group_name_H-M 'P 4/m b m'
_symmetry_Int_Tables_number 127
_symmetry_space_group_name_Hall '-P 4 2ab'
_cell_length_a 6.8930
_cell_length_b 6.8930
_cell_length_c 2.5529
_cell_angle_alpha 90.00
_cell_angle_beta 90.00
_cell_angle_gamma 90.00
loop_
_atom_site_label
_atom_site_fract_x
_atom_site_fract_y
_atom_site_fract_z
Cu1 0.1738 0.3262 0.0000
Tc1 0.0000 0.0000 0.5000
Ni1 0.1236 0.6236 0.5000
# - calculated volume (Å³/cell) = 121
# - energy relative to the elements (meV/atom) = 264.2
# - total magnetization (μB/cell) = 0.0

# 2
# Rb2Ga2Au3 PBE-GGA relaxed
data_Rb2Ga2Au3
_symmetry_space_group_name_H-M 'P 1 21/c 1'
_symmetry_Int_Tables_number 14
_cell_length_a 7.1634
_cell_length_b 7.2383
_cell_length_c 8.8628
_cell_angle_alpha 90.00
_cell_angle_beta 110.17
_cell_angle_gamma 90.00
loop_
_symmetry_equiv_pos_as_xyz
'x,y,z'
'-x,-y,-z'
'-x,y+1/2,-z+1/2'
'x,-y+1/2,z+1/2'
loop_
_atom_site_label
_atom_site_fract_x
_atom_site_fract_y
_atom_site_fract_z
Rb1 0.1955 0.0901 0.4000
Ga1 0.3612 0.5936 0.5509
Au1 0.0000 0.0000 0.0000
Au2 0.4179 0.6761 0.2812
# - calculated volume (Å³/cell) = 431
# - energy relative to the elements (meV/atom) = -306.8
# - total magnetization (μB/cell) = 0.0